LiVO2 | PBE+U | relaxed

Properties
Total magnetic moment   2.00 μB per formula unit

Unit cell a=8.4623 b=8.4623 c=8.4623 alpha=90.00 beta=90.00 gamma=90.00
Space group Fd-3m (No. 227, origin choice 2)
Symmetry-distinct sites (fractional):
Li: 0.0000 0.0000 0.0000 [16 per cell]
V: 0.0000 0.0000 0.5000 [16 per cell]
O: 0.0069 0.0069 0.7431 [32 per cell]



Li3V6O16 | PBE+U | relaxed

Properties
Total magnetic moment   1.00 μB per formula unit

Unit cell a=6.8170 b=3.6601 c=12.0421 alpha=90.00 beta=104.92 gamma=90.00
Space group Pm (No. 6)
Symmetry-distinct sites (fractional):
Li: 0.0000 0.0000 0.0000 [1 per cell]
Li: 0.2881 0.0000 0.3718 [1 per cell]
Li: 0.6659 0.5000 0.7304 [1 per cell]
V: 0.1692 0.5000 0.5884 [1 per cell]
V: 0.2176 0.5000 0.8537 [1 per cell]
V: 0.3544 0.5000 0.1359 [1 per cell]
V: 0.5934 0.0000 0.9720 [1 per cell]
V: 0.7375 0.0000 0.2497 [1 per cell]
V: 0.7849 0.0000 0.5163 [1 per cell]
O: 0.0859 0.0000 0.5907 [1 per cell]
O: 0.1432 0.5000 0.0084 [1 per cell]
O: 0.2483 0.5000 0.2434 [1 per cell]
O: 0.2909 0.0000 0.8795 [1 per cell]
O: 0.2960 0.5000 0.4892 [1 per cell]
O: 0.3500 0.5000 0.7229 [1 per cell]
O: 0.4206 0.0000 0.1236 [1 per cell]
O: 0.5192 0.5000 0.9781 [1 per cell]
O: 0.6051 0.0000 0.3822 [1 per cell]
O: 0.6546 0.5000 0.2247 [1 per cell]
O: 0.6589 0.0000 0.6163 [1 per cell]
O: 0.7196 0.0000 0.8709 [1 per cell]
O: 0.7980 0.0000 0.0958 [1 per cell]
O: 0.8687 0.5000 0.5142 [1 per cell]
O: 0.9727 0.0000 0.3294 [1 per cell]
O: 0.9801 0.5000 0.7751 [1 per cell]



Li2VO2 | PBE+U | relaxed

Properties
Total magnetic moment   3.00 μB per formula unit

Unit cell a=3.2171 b=3.2171 c=5.2115 alpha=90.00 beta=90.00 gamma=120.00
Space group P-3m1 (No. 164)
Symmetry-distinct sites (fractional):
Li: 0.3333 0.6667 0.1331 [2 per cell]
V: 0.0000 0.0000 0.5000 [1 per cell]
O: 0.3333 0.6667 0.7411 [2 per cell]



Uncorrected energy / eV/atom: -6.892; -7.121; -5.986